{
  "formula": "TiGaP2",
  "functional": "PBEsol",
  "state": "optimized geometry",
  "lattice": [[0.000, 3.111, 3.111], [3.111, 0.000, 3.111], [3.111, 3.111, 0.000]],
  "species": ["Ti", "Ga", "P", "P"],
  "frac_coords": [[0.000, 0.000, 0.000], [0.500, 0.500, 0.500], [0.250, 0.250, 0.250], [0.750, 0.750, 0.750]],
  "space_group": "No. 225",
  "formation_enthalpy_0k_kj_per_mol_fu": -42,
  "mass_density_g_cm3": 4.95
}


{
  "formula": "SiAs2Au",
  "functional": "PBEsol",
  "state": "optimized geometry",
  "lattice": [[2.849, -4.452, 0.000], [2.849, 4.452, 0.000], [-0.798, 0.000, 2.755]],
  "species": ["Si", "As", "As", "Au"],
  "frac_coords": [[0.000, 0.000, 0.000], [0.000, 0.500, 0.500], [0.500, 0.000, 0.500], [0.500, 0.500, 0.000]],
  "raw_formation_energy_ev_per_atom": 0.38,
  "space_group": "No. 12",
  "mass_density_g_cm3": 8.91
}


{
  "formula": "TaCoB2Sb",
  "functional": "PBEsol",
  "state": "optimized geometry",
  "lattice": [[4.201, 0.000, 0.000], [0.000, 4.201, 0.000], [0.000, 0.000, 5.330]],
  "species": ["Ta", "Co", "B", "B", "Sb"],
  "frac_coords": [[0.000, 0.000, 0.000], [0.500, 0.500, 0.000], [0.000, 0.500, 0.500], [0.500, 0.000, 0.500], [0.000, 0.000, 0.500]],
  "raw_formation_energy_ev_per_atom": 2.54,
  "space_group": "No. 123",
  "mass_density_g_cm3": 6.76
}


{
  "formula": "B2WF",
  "functional": "PBEsol",
  "state": "optimized geometry",
  "lattice": [[-2.624, 2.624, 2.991], [2.624, -2.624, 2.991], [2.624, 2.624, -2.991]],
  "species": ["B", "B", "B", "B", "W", "W", "F", "F"],
  "frac_coords": [[0.071, 0.125, 0.446], [0.375, 0.929, 0.054], [0.679, 0.625, 0.554], [0.875, 0.321, 0.946], [0.250, 0.750, 0.500], [0.500, 0.500, 0.000], [0.000, 0.000, 0.000], [0.750, 0.250, 0.500]],
  "raw_formation_energy_ev_per_atom": 0.70,
  "space_group": "No. 122",
  "mass_density_g_cm3": 9.05
}